[1]
Density functional theory data (PBE) for a relaxed CsTl2Se2 crystal.

Calculated density ... 6.5 g/cm3
Offset from the most stable computed form ... 21 meV/atom
Total DFT energy (no corrections) ... -3.0520 eV/atom
M_tot ... 0.00 μB/f.u.
Formation energy from raw total energies ... -0.541 eV/atom
Space-group type ... C2/m, No. 12
Crystal system ... monoclinic

abc: 8.128 8.128 7.445
angles: 104.64 104.64 121.91
Sites, in units of the cell vectors:
Cs 0.241 0.759 0.000
Cs 0.759 0.241 0.000
Tl 0.125 0.875 0.500
Tl 0.460 0.460 0.723
Tl 0.540 0.540 0.277
Tl 0.875 0.125 0.500
Se 0.104 0.104 0.924
Se 0.335 0.665 0.500
Se 0.665 0.335 0.500
Se 0.896 0.896 0.076



[2]
Density functional theory data (PBE) for a relaxed Pr2Nd7Sc2 crystal.

Calculated density ... 6.1 g/cm3
Energy of formation ... 0.140 eV/atom
Offset from the most stable computed form ... 0 meV/atom
Total DFT energy (no corrections) ... -4.9142 eV/atom
M_tot ... 0.00 μB/f.u.
Space-group type ... C2/m, No. 12
Crystal system ... monoclinic

abc: 6.890 6.890 8.332
angles: 98.38 98.38 103.71
Sites, in units of the cell vectors:
Pr 0.079 0.079 0.315
Pr 0.921 0.921 0.685
Nd 0.010 0.585 0.322
Nd 0.303 0.303 0.022
Nd 0.415 0.990 0.678
Nd 0.500 0.500 0.500
Nd 0.585 0.010 0.322
Nd 0.697 0.697 0.978
Nd 0.990 0.415 0.678
Sc 0.212 0.788 0.000
Sc 0.788 0.212 0.000



[3]
Density functional theory data (PBE) for a relaxed Ba3PdI crystal.

Calculated density ... 4.3 g/cm3
Offset from the most stable computed form ... 148 meV/atom
Total DFT energy (no corrections) ... -3.0663 eV/atom
M_tot ... 0.00 μB/f.u.
Formation energy from raw total energies ... -0.564 eV/atom
Space-group type ... Pm-3m, No. 221
Crystal system ... cubic

abc: 6.299 6.299 6.299
angles: 90.00 90.00 90.00
Sites, in units of the cell vectors:
Ba 0.000 0.000 0.500
Ba 0.000 0.500 0.000
Ba 0.500 0.000 0.000
Pd 0.000 0.000 0.000
I 0.500 0.500 0.500



[4]
Density functional theory data (PBE) for a relaxed PuGe3Ir2 crystal.

Calculated density ... 12.9 g/cm3
Energy of formation ... -0.393 eV/atom
Total DFT energy (no corrections) ... -8.0444 eV/atom
M_tot ... 5.14 μB/f.u.
Space-group type ... C2/m, No. 12
Crystal system ... monoclinic

abc: 8.493 8.493 9.891
angles: 102.60 102.60 28.06
Sites, in units of the cell vectors:
Pu 0.000 0.000 0.000
Pu 0.149 0.149 0.688
Pu 0.851 0.851 0.312
Ge 0.047 0.047 0.358
Ge 0.227 0.227 0.372
Ge 0.353 0.353 0.083
Ge 0.357 0.357 0.823
Ge 0.500 0.500 0.500
Ge 0.643 0.643 0.177
Ge 0.647 0.647 0.917
Ge 0.773 0.773 0.628
Ge 0.953 0.953 0.642
Ir 0.204 0.204 0.084
Ir 0.355 0.355 0.565
Ir 0.496 0.496 0.221
Ir 0.504 0.504 0.779
Ir 0.645 0.645 0.435
Ir 0.796 0.796 0.916



[5]
Density functional theory data (PBE) for a relaxed Sc3AgO crystal.

Calculated density ... 3.2 g/cm3
Offset from the most stable computed form ... 1926 meV/atom
Total DFT energy (no corrections) ... -4.8021 eV/atom
M_tot ... 0.00 μB/f.u.
Formation energy from raw total energies ... 0.559 eV/atom
Space-group type ... Pm-3m, No. 221
Crystal system ... cubic

abc: 5.112 5.112 5.112
angles: 90.00 90.00 90.00
Sites, in units of the cell vectors:
Sc 0.000 0.000 0.500
Sc 0.000 0.500 0.000
Sc 0.500 0.000 0.000
Ag 0.000 0.000 0.000
O 0.500 0.500 0.500



[6]
Density functional theory data (PBE) for a relaxed CeZrScN3 crystal.

Calculated density ... 6.5 g/cm3
Total DFT energy (no corrections) ... -9.1841 eV/atom
M_tot ... 0.00 μB/f.u.
Formation energy from raw total energies ... -1.553 eV/atom
Space-group type ... P2_1/m, No. 11
Crystal system ... monoclinic

abc: 5.760 3.354 8.646
angles: 90.00 102.88 90.00
Sites, in units of the cell vectors:
Ce 0.152 0.250 0.196
Ce 0.848 0.750 0.804
Zr 0.362 0.250 0.856
Zr 0.638 0.750 0.144
Sc 0.271 0.750 0.542
Sc 0.729 0.250 0.458
N 0.048 0.250 0.662
N 0.249 0.750 0.992
N 0.463 0.750 0.348
N 0.537 0.250 0.652
N 0.751 0.250 0.008
N 0.952 0.750 0.338



[7]
Density functional theory data (PBE) for a relaxed Rb4TiCl5 crystal.

Calculated density ... 2.8 g/cm3
Total DFT energy (no corrections) ... -3.6173 eV/atom
M_tot ... 2.96 μB/f.u.
Formation energy from raw total energies ... -1.517 eV/atom
Space-group type ... I4, No. 79
Crystal system ... tetragonal

abc: 7.827 7.827 7.827
angles: 100.86 100.86 128.54
Sites, in units of the cell vectors:
Rb 0.092 0.292 0.383
Rb 0.292 0.908 0.200
Rb 0.708 0.092 0.800
Rb 0.908 0.708 0.617
Ti 0.491 0.491 0.000
Cl 0.233 0.574 0.824
Cl 0.409 0.233 0.658
Cl 0.574 0.751 0.342
Cl 0.751 0.409 0.176
Cl 0.871 0.871 0.000



[8]
Density functional theory data (PBE) for a relaxed Pu4PdRu crystal.

Calculated density ... 17.3 g/cm3
Energy of formation ... 0.888 eV/atom
Offset from the most stable computed form ... 1010 meV/atom
Total DFT energy (no corrections) ... -11.0784 eV/atom
M_tot ... 0.00 μB/f.u.
Space-group type ... I4_1/amd, No. 141
Crystal system ... tetragonal

abc: 9.657 9.657 9.657
angles: 149.78 149.78 43.27
Sites, in units of the cell vectors:
Pu 0.000 0.242 0.242
Pu 0.000 0.758 0.758
Pu 0.242 0.000 0.742
Pu 0.242 0.500 0.242
Pu 0.500 0.242 0.742
Pu 0.500 0.758 0.258
Pu 0.758 0.000 0.258
Pu 0.758 0.500 0.758
Pd 0.375 0.625 0.750
Pd 0.625 0.375 0.250
Ru 0.125 0.875 0.250
Ru 0.875 0.125 0.750



[9]
Density functional theory data (PBE) for a relaxed SrBe3Hg crystal.

Calculated density ... 2.4 g/cm3
Energy of formation ... 1.927 eV/atom
Offset from the most stable computed form ... 1386 meV/atom
Total DFT energy (no corrections) ... -0.7053 eV/atom
M_tot ... 0.00 μB/f.u.
Space-group type ... Pm-3m, No. 221
Crystal system ... cubic

abc: 6.024 6.024 6.024
angles: 90.00 90.00 90.00
Sites, in units of the cell vectors:
Sr 0.000 0.000 0.000
Be 0.000 0.000 0.500
Be 0.000 0.500 0.000
Be 0.500 0.000 0.000
Hg 0.500 0.500 0.500



[10]
Density functional theory data (PBE) for a relaxed Rb2GaPdF6 crystal.

Calculated density ... 4.6 g/cm3
Offset from the most stable computed form ... 0 meV/atom
Total DFT energy (no corrections) ... -4.4343 eV/atom
M_tot ... 1.00 μB/f.u.
Formation energy from raw total energies ... -2.296 eV/atom
Space-group type ... I4/mmm, No. 139
Crystal system ... tetragonal

abc: 6.119 6.119 6.119
angles: 117.78 117.78 93.90
Sites, in units of the cell vectors:
Rb 0.250 0.750 0.500
Rb 0.750 0.250 0.500
Ga 0.000 0.000 0.000
Pd 0.500 0.500 0.000
F 0.214 0.214 0.429
F 0.214 0.786 0.000
F 0.236 0.236 0.000
F 0.764 0.764 0.000
F 0.786 0.214 0.000
F 0.786 0.786 0.571



[11]
Density functional theory data (PBE) for a relaxed Ti2Te2O5F5 crystal.

Calculated density ... 4.1 g/cm3
Total DFT energy (no corrections) ... -6.3486 eV/atom
M_tot ... 1.00 μB/f.u.
Formation energy from raw total energies ... -2.333 eV/atom
Space-group type ... Pnma, No. 62
Crystal system ... orthorhombic

abc: 7.665 16.714 6.701
angles: 90.00 90.00 90.00
Sites, in units of the cell vectors:
Ti 0.123 0.131 0.248
Ti 0.123 0.369 0.248
Ti 0.377 0.631 0.748
Ti 0.377 0.869 0.748
Ti 0.623 0.131 0.252
Ti 0.623 0.369 0.252
Ti 0.877 0.631 0.752
Ti 0.877 0.869 0.752
Te 0.130 0.636 0.219
Te 0.130 0.864 0.219
Te 0.370 0.136 0.719
Te 0.370 0.364 0.719
Te 0.630 0.636 0.281
Te 0.630 0.864 0.281
Te 0.870 0.136 0.781
Te 0.870 0.364 0.781
O 0.061 0.138 0.963
O 0.061 0.362 0.963
O 0.137 0.750 0.273
O 0.183 0.132 0.532
O 0.183 0.368 0.532
O 0.317 0.632 0.032
O 0.317 0.868 0.032
O 0.363 0.250 0.773
O 0.439 0.638 0.463
O 0.439 0.862 0.463
O 0.561 0.138 0.537
O 0.561 0.362 0.537
O 0.637 0.750 0.227
O 0.683 0.132 0.968
O 0.683 0.368 0.968
O 0.817 0.632 0.468
O 0.817 0.868 0.468
O 0.863 0.250 0.727
O 0.939 0.638 0.037
O 0.939 0.862 0.037
F 0.121 0.018 0.233
F 0.121 0.482 0.233
F 0.124 0.250 0.253
F 0.127 0.633 0.675
F 0.127 0.867 0.675
F 0.373 0.133 0.175
F 0.373 0.367 0.175
F 0.376 0.750 0.753
F 0.379 0.518 0.733
F 0.379 0.982 0.733
F 0.621 0.018 0.267
F 0.621 0.482 0.267
F 0.624 0.250 0.247
F 0.627 0.633 0.825
F 0.627 0.867 0.825
F 0.873 0.133 0.325
F 0.873 0.367 0.325
F 0.876 0.750 0.747
F 0.879 0.518 0.767
F 0.879 0.982 0.767



[12]
Density functional theory data (PBE) for a relaxed Tm2AgSn2 crystal.

Calculated density ... 9.2 g/cm3
Energy of formation ... -0.530 eV/atom
Total DFT energy (no corrections) ... -4.4904 eV/atom
M_tot ... 0.00 μB/f.u.
Space-group type ... C2/m, No. 12
Crystal system ... monoclinic

abc: 6.058 6.058 10.701
angles: 113.61 113.61 44.27
Sites, in units of the cell vectors:
Tm 0.005 0.005 0.327
Tm 0.178 0.178 0.102
Tm 0.822 0.822 0.898
Tm 0.995 0.995 0.673
Ag 0.291 0.291 0.666
Ag 0.709 0.709 0.334
Sn 0.355 0.355 0.428
Sn 0.456 0.456 0.112
Sn 0.544 0.544 0.888
Sn 0.645 0.645 0.572



[13]
Density functional theory data (PBE) for a relaxed KBeOs2F crystal.

Calculated density ... 9.0 g/cm3
Total DFT energy (no corrections) ... -4.3433 eV/atom
M_tot ... 0.00 μB/f.u.
Formation energy from raw total energies ... 1.488 eV/atom
Space-group type ... P4/mmm, No. 123
Crystal system ... tetragonal

abc: 4.219 4.219 4.641
angles: 90.00 90.00 90.00
Sites, in units of the cell vectors:
K 0.000 0.000 0.000
Be 0.500 0.500 0.000
Os 0.000 0.500 0.500
Os 0.500 0.000 0.500
F 0.000 0.000 0.500



[14]
Density functional theory data (PBE) for a relaxed MgS crystal.

Calculated density ... 1.5 g/cm3
Total DFT energy (no corrections) ... -4.1932 eV/atom
M_tot ... 0.00 μB/f.u.
Formation energy from raw total energies ... -1.332 eV/atom
Space-group type ... P4/m, No. 83
Crystal system ... tetragonal

abc: 10.875 10.875 4.150
angles: 90.00 90.00 90.00
Sites, in units of the cell vectors:
Mg 0.091 0.382 0.000
Mg 0.122 0.718 0.500
Mg 0.282 0.122 0.500
Mg 0.382 0.909 0.000
Mg 0.618 0.091 0.000
Mg 0.718 0.878 0.500
Mg 0.878 0.282 0.500
Mg 0.909 0.618 0.000
S 0.108 0.263 0.500
S 0.144 0.600 0.000
S 0.263 0.892 0.500
S 0.400 0.144 0.000
S 0.600 0.856 0.000
S 0.737 0.108 0.500
S 0.856 0.400 0.000
S 0.892 0.737 0.500



[15]
Density functional theory data (PBE) for a relaxed YHo3Tl crystal.

Calculated density ... 8.7 g/cm3
Energy of formation ... -0.043 eV/atom
Offset from the most stable computed form ... 63 meV/atom
Total DFT energy (no corrections) ... -4.5561 eV/atom
M_tot ... 0.00 μB/f.u.
Space-group type ... C2/c, No. 15
Crystal system ... monoclinic

abc: 9.791 9.791 6.536
angles: 100.28 100.28 83.95
Sites, in units of the cell vectors:
Y 0.036 0.173 0.461
Y 0.173 0.036 0.961
Y 0.827 0.964 0.039
Y 0.964 0.827 0.539
Ho 0.093 0.712 0.026
Ho 0.125 0.498 0.359
Ho 0.230 0.377 0.857
Ho 0.288 0.907 0.474
Ho 0.377 0.230 0.357
Ho 0.498 0.125 0.859
Ho 0.502 0.875 0.141
Ho 0.623 0.770 0.643
Ho 0.712 0.093 0.526
Ho 0.770 0.623 0.143
Ho 0.875 0.502 0.641
Ho 0.907 0.288 0.974
Tl 0.330 0.670 0.750
Tl 0.418 0.582 0.250
Tl 0.582 0.418 0.750
Tl 0.670 0.330 0.250



[16]
Density functional theory data (PBE) for a relaxed Tl3Pd5Au crystal.

Calculated density ... 13.5 g/cm3
Energy of formation ... -0.152 eV/atom
Total DFT energy (no corrections) ... -4.1901 eV/atom
M_tot ... 0.00 μB/f.u.
Space-group type ... P6_3/mcm, No. 193
Crystal system ... hexagonal

abc: 8.175 8.175 5.726
angles: 90.00 90.00 120.00
Sites, in units of the cell vectors:
Tl 0.000 0.368 0.250
Tl 0.000 0.632 0.750
Tl 0.368 0.000 0.250
Tl 0.368 0.368 0.750
Tl 0.632 0.000 0.750
Tl 0.632 0.632 0.250
Pd 0.000 0.299 0.750
Pd 0.000 0.701 0.250
Pd 0.299 0.000 0.750
Pd 0.299 0.299 0.250
Pd 0.333 0.667 0.000
Pd 0.333 0.667 0.500
Pd 0.667 0.333 0.000
Pd 0.667 0.333 0.500
Pd 0.701 0.000 0.250
Pd 0.701 0.701 0.750
Au 0.000 0.000 0.000
Au 0.000 0.000 0.500



[17]
Density functional theory data (PBE) for a relaxed LiPmBeSi crystal.

Calculated density ... 4.9 g/cm3
Total DFT energy (no corrections) ... -4.0056 eV/atom
M_tot ... 0.00 μB/f.u.
Formation energy from raw total energies ... -0.052 eV/atom
Space-group type ... F-43m, No. 216
Crystal system ... cubic

abc: 4.480 4.480 4.480
angles: 60.00 60.00 60.00
Sites, in units of the cell vectors:
Li 0.000 0.000 0.000
Pm 0.750 0.750 0.750
Be 0.500 0.500 0.500
Si 0.250 0.250 0.250



[18]
Density functional theory data (PBE) for a relaxed Sm2ErRu crystal.

Calculated density ... 8.6 g/cm3
Energy of formation ... -0.248 eV/atom
Offset from the most stable computed form ... 19 meV/atom
Total DFT energy (no corrections) ... -6.0669 eV/atom
M_tot ... 0.00 μB/f.u.
Space-group type ... Cmcm, No. 63
Crystal system ... orthorhombic

abc: 6.304 6.304 9.235
angles: 90.00 90.00 143.08
Sites, in units of the cell vectors:
Sm 0.141 0.859 0.568
Sm 0.141 0.859 0.932
Sm 0.859 0.141 0.068
Sm 0.859 0.141 0.432
Er 0.420 0.580 0.750
Er 0.580 0.420 0.250
Ru 0.240 0.760 0.250
Ru 0.760 0.240 0.750



[19]
Density functional theory data (PBE) for a relaxed Zr2VW crystal.

Calculated density ... 9.1 g/cm3
Energy of formation ... 0.175 eV/atom
Offset from the most stable computed form ... 0 meV/atom
Total DFT energy (no corrections) ... -9.6171 eV/atom
M_tot ... 2.88 μB/f.u.
Space-group type ... Fm-3m, No. 225
Crystal system ... cubic

abc: 4.758 4.758 4.758
angles: 60.00 60.00 60.00
Sites, in units of the cell vectors:
Zr 0.250 0.250 0.250
Zr 0.750 0.750 0.750
V 0.000 0.000 0.000
W 0.500 0.500 0.500



[20]
Density functional theory data (PBE) for a relaxed DyY2PaCo2 crystal.

Calculated density ... 7.9 g/cm3
Energy of formation ... -0.195 eV/atom
Total DFT energy (no corrections) ... -7.0681 eV/atom
M_tot ... 0.00 μB/f.u.
Space-group type ... Ibam, No. 72
Crystal system ... orthorhombic

abc: 7.927 7.927 7.927
angles: 128.82 74.54 129.77
Sites, in units of the cell vectors:
Dy 0.250 0.250 0.000
Dy 0.750 0.750 0.000
Y 0.201 0.703 0.904
Y 0.299 0.203 0.501
Y 0.701 0.797 0.499
Y 0.799 0.297 0.096
Pa 0.250 0.750 0.500
Pa 0.750 0.250 0.500
Co 0.088 0.294 0.382
Co 0.412 0.794 0.206
Co 0.588 0.206 0.794
Co 0.912 0.706 0.618